Compound: Cs6AgS
Source: Alexandria
Functional: PBE
Structure: optimized geometry

abc: 9.2036 9.2036 9.1838
angles: 91.23 91.23 119.21
Closest atoms and distances in Å follow each position.
Element x y z (fractional)
Cs1 0.9999 0.2947 0.2263  1 S 3.38, 1 Ag 3.74
Cs2 0.7053 0.0001 0.7737  1 S 3.38, 1 Ag 3.74
S1 0.0000 0.0000 0.0000  6 Cs 3.38
Cs3 0.2889 0.2889 0.7890  1 S 3.38, 1 Ag 3.70
Cs4 0.7111 0.7111 0.2110  1 S 3.38, 1 Ag 3.70
Cs5 0.0001 0.7053 0.7737  1 S 3.38, 1 Ag 3.74
Ag1 0.0000 0.0000 0.5000  6 Cs 3.70-3.74
Cs6 0.2947 0.9999 0.2263  1 S 3.38, 1 Ag 3.74

## Properties
The calculation puts the raw formation energy at -335 meV/atom. The calculation puts the energy at -0.1358 Ry/atom. As for the space group: No. 12. For the total magnetization, the calculation gives 0.000 μB/atom.